(1)
# PmY2Ho3Tm6

Crystalline PmY2Ho3Tm6 at its relaxed geometry (GGA-PBE, Alexandria).

Results
Magnetic moment ... 0.00 μB per formula unit
Space-group type ... C2/m
Crystal system ... monoclinic
Energy relative to the elements ... 0.0251 eV per atom
Total DFT energy (no corrections) ... -4.8283 eV per atom

a = 6.101 Å, b = 6.101 Å, c = 11.673 Å
α = 94.99°, β = 94.99°, γ = 119.94°
Positions (direct):
Ho 0.833 0.167 0.500
Tm 0.085 0.418 0.252
Tm 0.915 0.582 0.748
Tm 0.249 0.249 0.748
Tm 0.582 0.915 0.748
Ho 0.500 0.500 0.500
Ho 0.167 0.833 0.500
Y 0.333 0.667 0.000
Tm 0.418 0.085 0.252
Y 0.667 0.333 0.000
Tm 0.751 0.751 0.252
Pm 0.000 0.000 0.000

=====

(2)
# TaMn2Ni

Crystalline TaMn2Ni at its relaxed geometry (GGA-PBE, Alexandria).

Results
Magnetic moment ... 4.22 μB per formula unit
Space-group type ... P2/m
Crystal system ... monoclinic
Energy relative to the elements ... 0.1221 eV per atom
Total DFT energy (no corrections) ... -8.8711 eV per atom

a = 4.198 Å, b = 2.634 Å, c = 4.834 Å
α = 82.29°, β = 90.00°, γ = 90.00°
Each line ends with the local moment (μB).
Positions (direct):
Ni 0.500 0.250 0.250  0.56
Mn 0.000 0.487 0.489  2.00
Ta 0.500 0.750 0.750  -0.32
Mn 0.000 0.013 0.011  2.00

=====

(3)
# AcCeGeO

Crystalline AcCeGeO at its relaxed geometry (GGA-PBE, Alexandria).

Results
Magnetic moment ... 0.52 μB per formula unit
Space-group type ... P4/nmm
Crystal system ... tetragonal
Energy relative to the elements, uncorrected ... -6.7 eV/f.u.
Total DFT energy (no corrections) ... -6.5698 eV per atom

a = 4.425 Å, b = 4.425 Å, c = 10.171 Å
α = 90.00°, β = 90.00°, γ = 90.00°
Each line ends with the local moment (μB).
Positions (direct):
Ac 0.000 0.500 0.883  0.00
Ge 0.500 0.000 0.694  -0.01
Ce 0.000 0.000 0.500  0.39
Ce 0.500 0.500 0.500  0.39
O 0.500 0.500 0.000  0.00
Ac 0.500 0.000 0.117  0.00
Ge 0.000 0.500 0.306  -0.01
O 0.000 0.000 0.000  0.00

=====

(4)
# InGaCuNi2

Crystalline InGaCuNi2 at its relaxed geometry (GGA-PBE, Alexandria).

Results
Magnetic moment ... 0.00 μB per formula unit
Space-group type ... P4/mmm
Crystal system ... tetragonal
Energy relative to the elements ... 0.4294 eV per atom
Total DFT energy (no corrections) ... -3.8555 eV per atom

a = 4.385 Å, b = 4.420 Å, c = 4.385 Å
α = 90.00°, β = 90.00°, γ = 90.00°
Positions (direct):
Ga 0.000 0.000 0.000
In 0.500 0.500 0.500
Cu 0.000 0.500 0.000
Ni 0.000 0.000 0.500
Ni 0.500 0.000 0.000

=====

(5)
# Sm8As3PS4

Crystalline Sm8As3PS4 at its relaxed geometry (GGA-PBE, Alexandria).

Results
Magnetic moment ... 0.00 μB per formula unit
Space-group type ... R-3m
Crystal system ... trigonal
Energy relative to the elements, uncorrected ... -29.1 eV/f.u.
Total DFT energy (no corrections) ... -6.4181 eV per atom

a = 8.228 Å, b = 8.194 Å, c = 8.228 Å
α = 120.14°, β = 120.00°, γ = 90.00°
Positions (direct):
As 0.500 0.500 0.000
Sm 0.753 0.252 0.998
Sm 0.249 0.248 0.499
Sm 0.247 0.748 0.002
S 0.500 0.000 0.500
Sm 0.755 0.748 0.002
Sm 0.247 0.748 0.494
Sm 0.245 0.252 0.998
S 0.500 0.000 0.000
Sm 0.753 0.252 0.506
S 0.000 0.000 0.000
Sm 0.751 0.752 0.501
P 0.000 0.500 0.000
As 0.000 0.500 0.500
S 0.000 0.000 0.500
As 0.500 0.500 0.500

=====

(6)
# BaTlSe

Crystalline BaTlSe at its relaxed geometry (GGA-PBE, Alexandria).

Results
Magnetic moment ... 0.00 μB per formula unit
Space-group type ... I4mm
Crystal system ... tetragonal
Energy relative to the elements, uncorrected ... -2.9 eV/f.u.
Total DFT energy (no corrections) ... -3.5438 eV per atom

a = 7.215 Å, b = 7.215 Å, c = 4.553 Å
α = 71.60°, β = 71.61°, γ = 36.79°
Positions (direct):
Se 0.425 0.425 0.575
Tl 0.647 0.647 0.353
Ba 0.928 0.928 0.072

=====

(7)
# Pm3Nd3GaHg2

Crystalline Pm3Nd3GaHg2 at its relaxed geometry (GGA-PBE, Alexandria).

Results
Magnetic moment ... 0.00 μB per formula unit
Space-group type ... P-62m
Crystal system ... hexagonal
Energy relative to the elements ... -0.3103 eV per atom
Total DFT energy (no corrections) ... -3.8865 eV per atom

a = 3.804 Å, b = 8.984 Å, c = 8.984 Å
α = 120.00°, β = 90.00°, γ = 90.00°
Positions (direct):
Hg 0.500 0.667 0.333
Ga 0.000 0.000 0.000
Pm 0.000 0.605 0.605
Nd 0.500 0.734 0.000
Nd 0.500 0.266 0.266
Hg 0.500 0.333 0.667
Pm 0.000 0.395 0.000
Nd 0.500 0.000 0.734
Pm 0.000 0.000 0.395

=====

(8)
# LaHoNi

Crystalline LaHoNi at its relaxed geometry (GGA-PBE, Alexandria).

Results
Magnetic moment ... 0.00 μB per formula unit
Space-group type ... F-43m
Crystal system ... cubic
Energy relative to the elements ... -0.1081 eV per atom
Total DFT energy (no corrections) ... -5.2036 eV per atom

a = 4.855 Å, b = 4.855 Å, c = 4.855 Å
α = 60.00°, β = 60.00°, γ = 60.00°
Positions (direct):
Ho 0.500 0.500 0.500
La 0.000 0.000 0.000
Ni 0.250 0.250 0.250

=====

(9)
# Ti2AlSe

Crystalline Ti2AlSe at its relaxed geometry (GGA-PBE, Alexandria).

Results
Magnetic moment ... 0.00 μB per formula unit
Space-group type ... R3m
Crystal system ... trigonal
Energy relative to the elements, uncorrected ... -2.1 eV/f.u.
Total DFT energy (no corrections) ... -6.2729 eV per atom

a = 3.247 Å, b = 3.247 Å, c = 7.898 Å
α = 78.14°, β = 78.14°, γ = 60.00°
Positions (direct):
Se 0.667 0.667 0.999
Ti 0.077 0.077 0.769
Al 0.499 0.499 0.502
Ti 0.257 0.257 0.230

=====

(10)
# Pm3Tl4BiS8

Crystalline Pm3Tl4BiS8 at its relaxed geometry (GGA-PBE, Alexandria).

Results
Magnetic moment ... 0.00 μB per formula unit
Space-group type ... R-3m
Crystal system ... trigonal
Energy relative to the elements, uncorrected ... -19.2 eV/f.u.
Total DFT energy (no corrections) ... -4.9915 eV per atom

a = 8.302 Å, b = 8.891 Å, c = 8.303 Å
α = 117.85°, β = 120.00°, γ = 90.00°
Positions (direct):
Pm 0.500 0.500 0.500
S 0.267 0.295 0.031
S 0.734 0.703 0.469
Bi 0.000 0.500 0.000
S 0.764 0.295 0.031
Tl 0.500 0.000 0.000
S 0.236 0.705 0.969
Tl 0.500 0.000 0.500
Pm 0.000 0.500 0.500
Tl 0.000 0.000 0.000
S 0.266 0.297 0.531
Pm 0.500 0.500 0.000
S 0.733 0.705 0.969
S 0.236 0.705 0.472
S 0.764 0.295 0.528
Tl 0.000 0.000 0.500

=====

(11)
# V3FeB

Crystalline V3FeB at its relaxed geometry (GGA-PBE, Alexandria).

Results
Magnetic moment ... 2.68 μB per formula unit
Space-group type ... Pm-3m
Crystal system ... cubic
Energy relative to the elements ... 0.1716 eV per atom
Total DFT energy (no corrections) ... -8.3276 eV per atom

a = 4.002 Å, b = 4.002 Å, c = 4.002 Å
α = 90.00°, β = 90.00°, γ = 90.00°
Each line ends with the local moment (μB).
Positions (direct):
V 0.000 0.000 0.500  0.02
B 0.000 0.000 0.000  0.00
V 0.500 0.000 0.000  0.02
V 0.000 0.500 0.000  0.02
Fe 0.500 0.500 0.500  2.60

=====

(12)
# Re3RhI

Crystalline Re3RhI at its relaxed geometry (GGA-PBE, Alexandria).

Results
Magnetic moment ... 0.00 μB per formula unit
Space-group type ... Pm-3m
Crystal system ... cubic
Energy relative to the elements, uncorrected ... 12.4 eV/f.u.
Total DFT energy (no corrections) ... -6.7642 eV per atom

a = 4.750 Å, b = 4.750 Å, c = 4.750 Å
α = 90.00°, β = 90.00°, γ = 90.00°
Positions (direct):
I 0.500 0.500 0.500
Re 0.500 0.000 0.000
Re 0.000 0.500 0.000
Re 0.000 0.000 0.500
Rh 0.000 0.000 0.000

=====

(13)
# NiHPd2Rh

Crystalline NiHPd2Rh at its relaxed geometry (GGA-PBE, Alexandria).

Results
Magnetic moment ... 1.76 μB per formula unit
Space-group type ... P4/mmm
Crystal system ... tetragonal
Total DFT energy (no corrections) ... -5.2999 eV per atom

a = 3.946 Å, b = 3.946 Å, c = 3.844 Å
α = 90.00°, β = 90.00°, γ = 90.00°
Each line ends with the local moment (μB).
Positions (direct):
H 0.000 0.000 0.000  0.00
Rh 0.000 0.000 0.500  0.56
Pd 0.500 0.000 0.000  0.19
Ni 0.500 0.500 0.500  0.88
Pd 0.000 0.500 0.000  0.19

=====

(14)
# NaLiHfS3

Crystalline NaLiHfS3 at its relaxed geometry (GGA-PBE, Alexandria).

Results
Magnetic moment ... 0.00 μB per formula unit
Space-group type ... P2_1/m
Crystal system ... monoclinic
Energy relative to the elements, uncorrected ... -8.8 eV/f.u.
Total DFT energy (no corrections) ... -5.7340 eV per atom

a = 3.748 Å, b = 9.794 Å, c = 7.120 Å
α = 102.40°, β = 90.00°, γ = 90.00°
Positions (direct):
Hf 0.750 0.325 0.871
S 0.750 0.507 0.213
Na 0.750 0.671 0.623
S 0.250 0.493 0.787
S 0.250 0.194 0.989
S 0.750 0.806 0.011
Hf 0.250 0.675 0.129
S 0.750 0.179 0.545
Li 0.250 0.059 0.661
Na 0.250 0.329 0.377
Li 0.750 0.941 0.339
S 0.250 0.821 0.455

=====

(15)
# KGa2TcP

Crystalline KGa2TcP at its relaxed geometry (GGA-PBE, Alexandria).

Results
Magnetic moment ... 0.00 μB per formula unit
Space-group type ... P4/mmm
Crystal system ... tetragonal
Energy relative to the elements ... -0.1633 eV per atom
Total DFT energy (no corrections) ... -4.7487 eV per atom

a = 4.937 Å, b = 4.937 Å, c = 4.656 Å
α = 90.00°, β = 90.00°, γ = 90.00°
Positions (direct):
P 0.000 0.000 0.500
Ga 0.000 0.500 0.000
K 0.500 0.500 0.500
Ga 0.500 0.000 0.000
Tc 0.000 0.000 0.000

=====

(16)
# SrGa3Co

Crystalline SrGa3Co at its relaxed geometry (GGA-PBE, Alexandria).

Results
Magnetic moment ... 0.00 μB per formula unit
Space-group type ... P6_3/mmc
Crystal system ... hexagonal
Energy relative to the elements ... -0.3728 eV per atom
Total DFT energy (no corrections) ... -3.9464 eV per atom

a = 6.503 Å, b = 6.503 Å, c = 10.755 Å
α = 90.00°, β = 90.00°, γ = 120.00°
Positions (direct):
Ga 0.000 0.500 0.500
Ga 0.848 0.152 0.250
Ga 0.500 0.000 0.500
Ga 0.303 0.152 0.250
Ga 0.500 0.500 0.500
Sr 0.000 0.000 0.000
Ga 0.000 0.500 0.000
Sr 0.667 0.333 0.750
Ga 0.500 0.000 0.000
Sr 0.000 0.000 0.500
Co 0.333 0.667 0.622
Ga 0.152 0.848 0.750
Co 0.333 0.667 0.878
Ga 0.848 0.697 0.250
Co 0.667 0.333 0.122
Ga 0.500 0.500 0.000
Ga 0.152 0.303 0.750
Co 0.667 0.333 0.378
Ga 0.697 0.848 0.750
Sr 0.333 0.667 0.250

=====

(17)
# AcGa2SnAu5

Crystalline AcGa2SnAu5 at its relaxed geometry (GGA-PBE, Alexandria).

Results
Magnetic moment ... 0.00 μB per formula unit
Space-group type ... P4/mmm
Crystal system ... tetragonal
Energy relative to the elements ... -0.3450 eV per atom
Total DFT energy (no corrections) ... -3.7397 eV per atom

a = 5.132 Å, b = 5.132 Å, c = 7.617 Å
α = 90.00°, β = 90.00°, γ = 90.00°
Positions (direct):
Au 0.500 0.000 0.233
Au 0.000 0.500 0.233
Ga 0.500 0.500 0.162
Au 0.500 0.500 0.500
Au 0.500 0.000 0.767
Sn 0.000 0.000 0.000
Au 0.000 0.500 0.767
Ac 0.000 0.000 0.500
Ga 0.500 0.500 0.838

=====

(18)
# Sr2LaCdPt

Crystalline Sr2LaCdPt at its relaxed geometry (GGA-PBE, Alexandria).

Results
Magnetic moment ... 0.00 μB per formula unit
Space-group type ... P4/mmm
Crystal system ... tetragonal
Energy relative to the elements ... -0.4326 eV per atom
Total DFT energy (no corrections) ... -3.4820 eV per atom

a = 5.967 Å, b = 5.967 Å, c = 5.539 Å
α = 90.00°, β = 90.00°, γ = 90.00°
Positions (direct):
Pt 0.000 0.000 0.000
La 0.000 0.000 0.500
Sr 0.500 0.000 0.000
Sr 0.000 0.500 0.000
Cd 0.500 0.500 0.500

=====

(19)
# IrRuAu2

Crystalline IrRuAu2 at its relaxed geometry (GGA-PBE, Alexandria).

Results
Magnetic moment ... 0.00 μB per formula unit
Space-group type ... R3m
Crystal system ... trigonal
Energy relative to the elements ... 0.1978 eV per atom
Total DFT energy (no corrections) ... -5.9751 eV per atom

a = 9.592 Å, b = 9.592 Å, c = 9.592 Å
α = 16.85°, β = 16.85°, γ = 16.85°
Positions (direct):
Ir 0.494 0.494 0.494
Au 0.247 0.247 0.247
Ru 0.755 0.755 0.755
Au 0.004 0.004 0.004

=====

(20)
# Rb2PaIO6

Crystalline Rb2PaIO6 at its relaxed geometry (GGA-PBE, Alexandria).

Results
Magnetic moment ... 0.00 μB per formula unit
Space-group type ... Fm-3m
Crystal system ... cubic
Energy relative to the elements, uncorrected ... -19.0 eV/f.u.
Total DFT energy (no corrections) ... -6.1776 eV per atom

a = 6.121 Å, b = 6.121 Å, c = 6.121 Å
α = 60.00°, β = 60.00°, γ = 90.00°
Positions (direct):
O 0.253 0.253 0.000
Pa 0.000 0.000 0.000
Rb 0.250 0.750 0.500
O 0.747 0.747 0.506
Rb 0.750 0.250 0.500
O 0.747 0.747 0.000
O 0.747 0.253 0.000
I 0.500 0.500 0.000
O 0.253 0.253 0.494
O 0.253 0.747 0.000

=====

(21)
# CaHgI2O

Crystalline CaHgI2O at its relaxed geometry (GGA-PBE, Alexandria).

Results
Magnetic moment ... 0.00 μB per formula unit
Space-group type ... P4/mmm
Crystal system ... tetragonal
Energy relative to the elements, uncorrected ... -3.3 eV/f.u.
Total DFT energy (no corrections) ... -2.7263 eV per atom

a = 6.267 Å, b = 6.267 Å, c = 4.238 Å
α = 90.00°, β = 90.00°, γ = 90.00°
Positions (direct):
I 0.500 0.000 0.000
Hg 0.500 0.500 0.500
I 0.000 0.500 0.000
O 0.000 0.000 0.500
Ca 0.000 0.000 0.000